Arrangement 1

{
  "formula": "Ti2HPtRh",
  "functional": "GGA-PBE",
  "state": "relaxed",
  "lattice_angstrom": [[4.046, 0.000, 0.000], [0.000, 4.046, 0.000], [0.000, 0.000, 3.854]],
  "species": ["H", "Rh", "Pt", "Ti", "Ti"],
  "fractional_positions": [[0.000, 0.000, 0.000], [0.500, 0.500, 0.500], [0.000, 0.000, 0.500], [0.000, 0.500, 0.000], [0.500, 0.000, 0.000]],
  "crystal_system": "tetragonal",
  "magmom_total_mub_per_cell": 0.63,
  "spacegroup": "P4/mmm, No. 123"
}

Arrangement 2

{
  "formula": "Ti2HPtRh",
  "functional": "GGA-PBE",
  "state": "relaxed",
  "lattice_angstrom": [[4.053, 0.000, 0.000], [0.000, 4.053, 0.000], [0.000, 0.000, 3.822]],
  "species": ["H", "Rh", "Pt", "Ti", "Ti"],
  "fractional_positions": [[0.000, 0.000, 0.000], [0.000, 0.000, 0.500], [0.500, 0.500, 0.500], [0.000, 0.500, 0.000], [0.500, 0.000, 0.000]],
  "crystal_system": "tetragonal",
  "magmom_total_mub_per_cell": 0.63,
  "spacegroup": "P4/mmm, No. 123"
}

Tell me which of them is the most stable. Sure, it is arrangement 2.

Arrangement 1

{
  "formula": "VHPtRh2",
  "functional": "GGA-PBE",
  "state": "relaxed",
  "lattice_angstrom": [[3.878, 0.000, 0.000], [0.000, 3.878, 0.000], [0.000, 0.000, 3.930]],
  "species": ["H", "Rh", "Rh", "Pt", "V"],
  "fractional_positions": [[0.000, 0.000, 0.000], [0.000, 0.500, 0.000], [0.500, 0.000, 0.000], [0.500, 0.500, 0.500], [0.000, 0.000, 0.500]],
  "crystal_system": "tetragonal",
  "magmom_total_mub_per_cell": 0.00,
  "spacegroup": "P4/mmm, No. 123"
}

Arrangement 2

{
  "formula": "VHPtRh2",
  "functional": "GGA-PBE",
  "state": "relaxed",
  "lattice_angstrom": [[3.912, 0.000, 0.000], [0.000, 3.912, 0.000], [0.000, 0.000, 3.875]],
  "species": ["H", "Rh", "Rh", "Pt", "V"],
  "fractional_positions": [[0.000, 0.000, 0.000], [0.000, 0.500, 0.000], [0.500, 0.000, 0.000], [0.000, 0.000, 0.500], [0.500, 0.500, 0.500]],
  "crystal_system": "tetragonal",
  "magmom_total_mub_per_cell": 0.59,
  "spacegroup": "P4/mmm, No. 123"
}

Tell me which of them is the most stable. Sure, it is arrangement 1.

Arrangement 1

{
  "formula": "YHPtRh2",
  "functional": "GGA-PBE",
  "state": "relaxed",
  "lattice_angstrom": [[-2.757, 3.088, -0.071], [-0.928, -0.737, 3.967], [2.893, 2.610, 1.162]],
  "species": ["Y", "H", "Rh", "Rh", "Pt"],
  "fractional_positions": [[0.500, 0.500, 0.500], [0.000, 0.000, 0.000], [0.000, 0.500, 0.000], [0.500, 0.000, 0.000], [0.000, 0.000, 0.500]],
  "crystal_system": "tetragonal",
  "magmom_total_mub_per_cell": 0.00,
  "spacegroup": "P4/mmm, No. 123"
}

Arrangement 2

{
  "formula": "YHPtRh2",
  "functional": "GGA-PBE",
  "state": "relaxed",
  "lattice_angstrom": [[4.029, 0.000, 0.000], [0.000, 4.029, 0.000], [0.000, 0.000, 4.318]],
  "species": ["Y", "H", "Rh", "Rh", "Pt"],
  "fractional_positions": [[0.000, 0.000, 0.500], [0.000, 0.000, 0.000], [0.000, 0.500, 0.000], [0.500, 0.000, 0.000], [0.500, 0.500, 0.500]],
  "crystal_system": "tetragonal",
  "magmom_total_mub_per_cell": 0.00,
  "spacegroup": "P4/mmm, No. 123"
}

Tell me which of them is the most stable. Sure, it is arrangement 1.

Arrangement 1

{
  "formula": "YHPt2Rh",
  "functional": "GGA-PBE",
  "state": "relaxed",
  "lattice_angstrom": [[-1.668, 4.476, 1.556], [-2.832, -1.501, 1.283], [2.340, -0.657, 4.397]],
  "species": ["Y", "H", "Rh", "Pt", "Pt"],
  "fractional_positions": [[0.500, 0.500, 0.500], [0.000, 0.500, 0.000], [0.000, 0.000, 0.000], [0.000, 0.000, 0.500], [0.500, 0.000, 0.000]],
  "crystal_system": "tetragonal",
  "magmom_total_mub_per_cell": 0.84,
  "spacegroup": "P4/mmm, No. 123"
}

Arrangement 2

{
  "formula": "YHPt2Rh",
  "functional": "GGA-PBE",
  "state": "relaxed",
  "lattice_angstrom": [[-1.150, -2.219, 3.273], [0.537, -3.465, -2.160], [4.002, -0.181, 1.284]],
  "species": ["Y", "H", "Rh", "Pt", "Pt"],
  "fractional_positions": [[0.500, 0.500, 0.500], [0.000, 0.000, 0.000], [0.000, 0.000, 0.500], [0.000, 0.500, 0.000], [0.500, 0.000, 0.000]],
  "crystal_system": "tetragonal",
  "magmom_total_mub_per_cell": 0.00,
  "spacegroup": "P4/mmm, No. 123"
}

Arrangement 3

{
  "formula": "YHPt2Rh",
  "functional": "GGA-PBE",
  "state": "relaxed",
  "lattice_angstrom": [[4.013, 0.000, 0.000], [0.000, 4.013, 0.000], [0.000, 0.000, 4.451]],
  "species": ["Y", "H", "Rh", "Pt", "Pt"],
  "fractional_positions": [[0.000, 0.000, 0.500], [0.000, 0.000, 0.000], [0.500, 0.500, 0.500], [0.000, 0.500, 0.000], [0.500, 0.000, 0.000]],
  "crystal_system": "tetragonal",
  "magmom_total_mub_per_cell": 0.00,
  "spacegroup": "P4/mmm, No. 123"
}

Tell me which of them is the most stable. Sure, it is arrangement 2.

Arrangement 1

{
  "formula": "ZnHPtRh2",
  "functional": "GGA-PBE",
  "state": "relaxed",
  "lattice_angstrom": [[-3.742, -0.833, 0.489], [0.645, -0.698, 3.746], [-0.751, 3.874, 0.851]],
  "species": ["H", "Zn", "Rh", "Rh", "Pt"],
  "fractional_positions": [[0.000, 0.000, 0.000], [0.000, 0.000, 0.500], [0.000, 0.500, 0.000], [0.500, 0.000, 0.000], [0.500, 0.500, 0.500]],
  "crystal_system": "tetragonal",
  "magmom_total_mub_per_cell": 0.00,
  "spacegroup": "P4/mmm, No. 123"
}

Arrangement 2

{
  "formula": "ZnHPtRh2",
  "functional": "GGA-PBE",
  "state": "relaxed",
  "lattice_angstrom": [[-0.737, -0.198, 3.871], [3.415, -1.897, 0.553], [1.815, 3.419, 0.520]],
  "species": ["H", "Zn", "Rh", "Rh", "Pt"],
  "fractional_positions": [[0.000, 0.000, 0.000], [0.500, 0.500, 0.500], [0.000, 0.500, 0.000], [0.500, 0.000, 0.000], [0.000, 0.000, 0.500]],
  "crystal_system": "tetragonal",
  "magmom_total_mub_per_cell": 0.00,
  "spacegroup": "P4/mmm, No. 123"
}

Tell me which of them is the most stable. Sure, it is arrangement 2.

Arrangement 1

{
  "formula": "HRu2Pt2",
  "functional": "GGA-PBE",
  "state": "relaxed",
  "lattice_angstrom": [[3.714, 0.000, 0.000], [0.000, 3.714, 0.000], [1.857, 1.857, 5.907]],
  "species": ["Ru", "Ru", "Pt", "Pt", "H"],
  "fractional_positions": [[0.407, 0.407, 0.186], [0.593, 0.593, 0.814], [0.750, 0.250, 0.500], [0.250, 0.750, 0.500], [0.000, 0.000, 0.000]],
  "crystal_system": "tetragonal",
  "magmom_total_mub_per_cell": 0.00,
  "spacegroup": "I4/mmm, No. 139"
}

Arrangement 2

{
  "formula": "HRu2Pt2",
  "functional": "GGA-PBE",
  "state": "relaxed",
  "lattice_angstrom": [[-2.145, 4.304, -2.097], [-4.771, -1.727, 1.336], [0.366, 2.210, 4.161]],
  "species": ["Ru", "Ru", "Ru", "Ru", "Pt", "Pt", "Pt", "Pt", "H", "H"],
  "fractional_positions": [[0.330, 0.830, 0.000], [0.830, 0.670, 0.000], [0.670, 0.170, 0.000], [0.170, 0.330, 0.000], [0.178, 0.678, 0.500], [0.678, 0.822, 0.500], [0.822, 0.322, 0.500], [0.322, 0.178, 0.500], [0.000, 0.000, 0.000], [0.500, 0.500, 0.000]],
  "crystal_system": "tetragonal",
  "magmom_total_mub_per_cell": 1.73,
  "spacegroup": "P4/mbm, No. 127"
}

Tell me which of them is the most stable. Sure, it is arrangement 2.

Arrangement 1

{
  "formula": "TaHRuPt2",
  "functional": "GGA-PBE",
  "state": "relaxed",
  "lattice_angstrom": [[-2.440, -0.650, -2.984], [-2.409, -1.937, 2.392], [-2.040, 3.624, 0.879]],
  "species": ["Ru", "H", "Pt", "Pt", "Ta"],
  "fractional_positions": [[0.500, 0.500, 0.500], [0.000, 0.000, 0.000], [0.000, 0.500, 0.000], [0.500, 0.000, 0.000], [0.000, 0.000, 0.500]],
  "crystal_system": "tetragonal",
  "magmom_total_mub_per_cell": 0.00,
  "spacegroup": "P4/mmm, No. 123"
}

Arrangement 2

{
  "formula": "TaHRuPt2",
  "functional": "GGA-PBE",
  "state": "relaxed",
  "lattice_angstrom": [[3.964, 0.000, 0.000], [0.000, 3.964, 0.000], [0.000, 0.000, 4.111]],
  "species": ["Ru", "H", "Pt", "Pt", "Ta"],
  "fractional_positions": [[0.000, 0.000, 0.500], [0.000, 0.000, 0.000], [0.000, 0.500, 0.000], [0.500, 0.000, 0.000], [0.500, 0.500, 0.500]],
  "crystal_system": "tetragonal",
  "magmom_total_mub_per_cell": 0.00,
  "spacegroup": "P4/mmm, No. 123"
}

Tell me which of them is the most stable. Sure, it is arrangement 2.

Arrangement 1

{
  "formula": "Ta2HRuPt",
  "functional": "GGA-PBE",
  "state": "relaxed",
  "lattice_angstrom": [[4.113, 0.000, 0.000], [0.000, 3.937, 0.000], [0.000, 0.000, 4.113]],
  "species": ["Ru", "H", "Pt", "Ta", "Ta"],
  "fractional_positions": [[0.000, 0.500, 0.000], [0.000, 0.000, 0.000], [0.500, 0.500, 0.500], [0.000, 0.000, 0.500], [0.500, 0.000, 0.000]],
  "crystal_system": "tetragonal",
  "magmom_total_mub_per_cell": 0.00,
  "spacegroup": "P4/mmm, No. 123"
}

Arrangement 2

{
  "formula": "Ta2HRuPt",
  "functional": "GGA-PBE",
  "state": "relaxed",
  "lattice_angstrom": [[-0.637, -3.679, 1.726], [3.969, -0.939, -0.537], [0.841, 1.522, 3.553]],
  "species": ["Ru", "H", "Pt", "Ta", "Ta"],
  "fractional_positions": [[0.500, 0.500, 0.500], [0.000, 0.000, 0.000], [0.000, 0.000, 0.500], [0.000, 0.500, 0.000], [0.500, 0.000, 0.000]],
  "crystal_system": "tetragonal",
  "magmom_total_mub_per_cell": 0.00,
  "spacegroup": "P4/mmm, No. 123"
}

Tell me which of them is the most stable. Sure, it is arrangement 1.

Arrangement 1

{
  "formula": "Ti2HRuPt",
  "functional": "GGA-PBE",
  "state": "relaxed",
  "lattice_angstrom": [[-3.961, 1.124, -0.356], [-1.050, -2.798, 2.855], [0.477, 2.515, 2.640]],
  "species": ["Ru", "H", "Pt", "Ti", "Ti"],
  "fractional_positions": [[0.000, 0.000, 0.500], [0.000, 0.000, 0.000], [0.500, 0.500, 0.500], [0.000, 0.500, 0.000], [0.500, 0.000, 0.000]],
  "crystal_system": "tetragonal",
  "magmom_total_mub_per_cell": 0.00,
  "spacegroup": "P4/mmm, No. 123"
}

Arrangement 2

{
  "formula": "Ti2HRuPt",
  "functional": "GGA-PBE",
  "state": "relaxed",
  "lattice_angstrom": [[4.144, 0.000, 0.000], [0.000, 4.144, 0.000], [0.000, 0.000, 3.680]],
  "species": ["Ru", "H", "Pt", "Ti", "Ti"],
  "fractional_positions": [[0.500, 0.500, 0.500], [0.000, 0.000, 0.000], [0.000, 0.000, 0.500], [0.000, 0.500, 0.000], [0.500, 0.000, 0.000]],
  "crystal_system": "tetragonal",
  "magmom_total_mub_per_cell": 0.00,
  "spacegroup": "P4/mmm, No. 123"
}

Tell me which of them is the most stable. Sure, it is arrangement 1.

Arrangement 1

{
  "formula": "VHRu2Pt",
  "functional": "GGA-PBE",
  "state": "relaxed",
  "lattice_angstrom": [[-0.424, 2.371, -3.084], [-3.360, -1.787, -0.912], [-1.927, 2.505, 2.191]],
  "species": ["Ru", "Ru", "H", "Pt", "V"],
  "fractional_positions": [[0.000, 0.500, 0.000], [0.500, 0.000, 0.000], [0.000, 0.000, 0.000], [0.000, 0.000, 0.500], [0.500, 0.500, 0.500]],
  "crystal_system": "tetragonal",
  "magmom_total_mub_per_cell": 0.00,
  "spacegroup": "P4/mmm, No. 123"
}

Arrangement 2

{
  "formula": "VHRu2Pt",
  "functional": "GGA-PBE",
  "state": "relaxed",
  "lattice_angstrom": [[-2.493, -2.842, 0.853], [0.115, -1.206, -3.682], [2.971, -2.347, 0.861]],
  "species": ["Ru", "Ru", "H", "Pt", "V"],
  "fractional_positions": [[0.000, 0.500, 0.000], [0.500, 0.000, 0.000], [0.000, 0.000, 0.000], [0.500, 0.500, 0.500], [0.000, 0.000, 0.500]],
  "crystal_system": "tetragonal",
  "magmom_total_mub_per_cell": 0.01,
  "spacegroup": "P4/mmm, No. 123"
}

Tell me which of them is the most stable. Sure, it is arrangement 2.

Arrangement 1

{
  "formula": "V2HRuPt",
  "functional": "GGA-PBE",
  "state": "relaxed",
  "lattice_angstrom": [[3.906, 0.000, 0.000], [0.000, 3.906, 0.000], [0.000, 0.000, 3.783]],
  "species": ["Ru", "H", "Pt", "V", "V"],
  "fractional_positions": [[0.000, 0.000, 0.500], [0.000, 0.000, 0.000], [0.500, 0.500, 0.500], [0.000, 0.500, 0.000], [0.500, 0.000, 0.000]],
  "crystal_system": "tetragonal",
  "magmom_total_mub_per_cell": 0.00,
  "spacegroup": "P4/mmm, No. 123"
}

Arrangement 2

{
  "formula": "V2HRuPt",
  "functional": "GGA-PBE",
  "state": "relaxed",
  "lattice_angstrom": [[3.912, 0.000, 0.000], [0.000, 3.912, 0.000], [0.000, 0.000, 3.792]],
  "species": ["Ru", "H", "Pt", "V", "V"],
  "fractional_positions": [[0.500, 0.500, 0.500], [0.000, 0.000, 0.000], [0.000, 0.000, 0.500], [0.000, 0.500, 0.000], [0.500, 0.000, 0.000]],
  "crystal_system": "tetragonal",
  "magmom_total_mub_per_cell": 0.00,
  "spacegroup": "P4/mmm, No. 123"
}

Tell me which of them is the most stable. Sure, it is arrangement 1.

Arrangement 1

{
  "formula": "ZrHRu2Pt",
  "functional": "GGA-PBE",
  "state": "relaxed",
  "lattice_angstrom": [[4.048, 0.000, 0.000], [0.000, 4.048, 0.000], [0.000, 0.000, 3.994]],
  "species": ["Ru", "Ru", "Zr", "Pt", "H"],
  "fractional_positions": [[0.000, 0.500, 0.000], [0.500, 0.000, 0.000], [0.500, 0.500, 0.500], [0.000, 0.000, 0.500], [0.000, 0.000, 0.000]],
  "crystal_system": "tetragonal",
  "magmom_total_mub_per_cell": 0.00,
  "spacegroup": "P4/mmm, No. 123"
}

Arrangement 2

{
  "formula": "ZrHRu2Pt",
  "functional": "GGA-PBE",
  "state": "relaxed",
  "lattice_angstrom": [[-0.653, 3.879, 0.569], [-3.261, -0.858, 2.104], [2.270, -0.126, 3.467]],
  "species": ["Ru", "Ru", "Zr", "Pt", "H"],
  "fractional_positions": [[0.000, 0.500, 0.000], [0.500, 0.000, 0.000], [0.000, 0.000, 0.500], [0.500, 0.500, 0.500], [0.000, 0.000, 0.000]],
  "crystal_system": "tetragonal",
  "magmom_total_mub_per_cell": 0.00,
  "spacegroup": "P4/mmm, No. 123"
}

Tell me which of them is the most stable. Sure, it is arrangement 2.